(1)
Tb5Zn4Rh | GGA-PBE | optimized geometry

Computed properties:
energy of formation = -0.45 eV per atom
symmetry = P4/mmm (123)

Cell and atoms, written as POSCAR:
```
Tb5Zn4Rh
1.0
3.5631 0.0000 0.0000
0.0000 3.5631 0.0000
0.0000 0.0000 17.7122
Tb Zn Rh
5 4 1
Cartesian
0.0000 0.0000 0.0000
0.0000 0.0000 3.5886
0.0000 0.0000 7.2302
0.0000 0.0000 10.4820
0.0000 0.0000 14.1235
1.7815 1.7815 1.8065
1.7815 1.7815 5.3551
1.7815 1.7815 12.3571
1.7815 1.7815 15.9056
1.7815 1.7815 8.8561
```

(2)
In2SbSe | GGA-PBE | optimized geometry

Computed properties:
E above lowest polymorph = 0.99 eV/f.u.
symmetry = Pmmm (47)

Cell and atoms, written as POSCAR:
```
In2SbSe
1.0
3.7170 0.0000 0.0000
0.0000 4.9858 0.0000
0.0000 0.0000 5.6276
In Sb Se
2 1 1
Cartesian
0.0000 0.0000 0.0000
1.8585 2.4929 0.0000
0.0000 2.4929 2.8138
1.8585 0.0000 2.8138
```

(3)
Pm4CdGa | GGA-PBE | optimized geometry

Computed properties:
E above lowest polymorph = 0.00 eV/f.u.
energy of formation = -0.27 eV per atom
symmetry = F-43m (216)

Cell and atoms, written as POSCAR:
```
Pm4CdGa
1.0
0.0000 7.1020 7.1020
7.1020 0.0000 7.1020
7.1020 7.1020 0.0000
Pm Cd Ga
16 4 4
Cartesian
7.1020 7.1020 2.6107
7.1020 2.6107 7.1020
11.5933 7.1020 7.1020
5.5401 5.5401 5.5401
8.6639 8.6639 5.5401
8.6639 5.5401 8.6639
10.6530 10.6530 7.9514
10.6530 7.9514 10.6530
13.3546 10.6530 10.6530
2.6107 7.1020 7.1020
7.1020 11.5933 7.1020
7.1020 7.1020 11.5933
5.5401 8.6639 8.6639
7.9514 10.6530 10.6530
10.6530 13.3546 10.6530
10.6530 10.6530 13.3546
2.4018 2.4018 2.4018
4.7002 4.7002 2.4018
4.7002 2.4018 4.7002
2.4018 4.7002 4.7002
8.5926 5.6114 5.6114
5.6114 8.5926 5.6114
5.6114 5.6114 8.5926
8.5926 8.5926 8.5926
```

(4)
Dy2TmCu2Ge2 | GGA-PBE | optimized geometry

Computed properties:
energy of formation = -0.50 eV per atom
symmetry = R-3m (166)

Cell and atoms, written as POSCAR:
```
Dy2TmCu2Ge2
1.0
2.0925 1.2081 10.0145
-2.0925 1.2081 10.0145
0.0000 -2.4162 10.0145
Dy Tm Cu Ge
2 1 2 2
Cartesian
0.0000 0.0000 3.6433
0.0000 0.0000 26.4001
0.0000 0.0000 0.0000
0.0000 0.0000 11.7457
0.0000 0.0000 18.2977
0.0000 0.0000 8.1465
0.0000 0.0000 21.8969
```

Number 1: DOS at the Fermi energy 9.014 states/eV/f.u.. Number 2: DOS at the Fermi energy 1.457 states/eV/f.u.. Number 3: DOS at the Fermi energy 6.956 states/eV/f.u.. Number 4: DOS at the Fermi energy 4.506 states/eV/f.u..